Record 1
The following is a PBE calculation of a geometry-optimized RhWSe2 structure, from Alexandria.

a = 2.9700 Å, b = 2.9700 Å, c = 8.4635 Å
α = 90.00°, β = 90.00°, γ = 90.00°
Closest atoms and distances in Å follow each position.
Positions (direct):
Rh 0.5000 0.5000 0.7259  4 Se 2.75, 4 W 2.77, 4 Rh 2.97
Se 0.0000 0.0000 0.9355  4 Rh 2.75, 4 Se 2.97
Se 0.5000 0.5000 0.3270  4 W 2.62
W 0.0000 0.0000 0.5116  4 Se 2.62, 4 Rh 2.77

E_form (uncorrected): -35 meV per atom
symmetry: P4mm (99)
relative energy among the computed polymorphs: 183 meV/atom
crystal system: tetragonal


Record 2
The following is a PBE calculation of a geometry-optimized RhWSe structure, from Alexandria.

a = 4.2577 Å, b = 4.2577 Å, c = 4.2577 Å
α = 60.00°, β = 60.00°, γ = 60.00°
Closest atoms and distances in Å follow each position.
Positions (direct):
Rh 0.0000 0.0000 0.0000  4 W 2.61
Se 0.5000 0.5000 0.5000  4 W 2.61
W 0.7500 0.7500 0.7500  4 Se 2.61, 4 Rh 2.61

E_form (uncorrected): 269 meV per atom
symmetry: F-43m (216)
relative energy among the computed polymorphs: 298 meV/atom
crystal system: cubic


Record 3
The following is a PBE calculation of a geometry-optimized RhWSe2 structure, from Alexandria.

a = 5.6590 Å, b = 5.6590 Å, c = 6.8114 Å
α = 65.46°, β = 65.46°, γ = 90.00°
Closest atoms and distances in Å follow each position.
Positions (direct):
Rh 0.5000 0.5000 0.0000  4 Se 2.43
Rh 0.2500 0.7500 0.5000  4 Se 2.43
Se 0.6261 0.1250 0.2500  2 W 2.43, 2 Rh 2.43
Se 0.1239 0.6250 0.2500  2 W 2.43, 2 Rh 2.43
Se 0.3750 0.3739 0.7500  2 W 2.43, 2 Rh 2.43
Se 0.8750 0.8761 0.7500  2 W 2.43, 2 Rh 2.43
W 0.0000 0.0000 0.0000  4 Se 2.43
W 0.7500 0.2500 0.5000  4 Se 2.43

E_form (uncorrected): 282 meV per atom
symmetry: I-42d (122)
relative energy among the computed polymorphs: 500 meV/atom
crystal system: tetragonal


Record 4
The following is a PBE calculation of a geometry-optimized Rh4WSe structure, from Alexandria.

a = 5.1196 Å, b = 5.1196 Å, c = 5.1196 Å
α = 60.00°, β = 60.00°, γ = 60.00°
Closest atoms and distances in Å follow each position.
Positions (direct):
Rh 0.8767 0.3744 0.3744  6 Rh 2.55-2.57
Rh 0.3744 0.3744 0.8767  6 Rh 2.55-2.57
Rh 0.3744 0.8767 0.3744  6 Rh 2.55-2.57
Rh 0.3744 0.3744 0.3744  6 Rh 2.55-2.57
W 0.0000 0.0000 0.0000  12 Rh 3.00, 4 Se 3.14
Se 0.7500 0.7500 0.7500  12 Rh 3.00, 4 W 3.14

E_form (uncorrected): 535 meV per atom
symmetry: F-43m (216)
crystal system: cubic


Record 5
The following is a PBE calculation of a geometry-optimized RhWSe2 structure, from Alexandria.

a = 4.1774 Å, b = 2.6905 Å, c = 6.8258 Å
α = 113.47°, β = 90.00°, γ = 90.00°
Closest atoms and distances in Å follow each position.
Positions (direct):
Rh 0.5000 0.7500 0.7500  4 Se 2.60, 2 Rh 2.69
Se 0.0000 0.9976 0.9961  2 Rh 2.60, 2 W 2.62, 2 Se 2.69
Se 0.0000 0.5024 0.5039  2 Rh 2.60, 2 W 2.62, 2 Se 2.69
W 0.5000 0.2500 0.2500  4 Se 2.62, 2 W 2.69

E_form (uncorrected): 491 meV per atom
symmetry: P2/m (10)
relative energy among the computed polymorphs: 709 meV/atom
crystal system: monoclinic


Record 6
The following is a PBE calculation of a geometry-optimized Rh2WSe structure, from Alexandria.

a = 4.8084 Å, b = 4.8084 Å, c = 4.5922 Å
α = 86.47°, β = 86.47°, γ = 35.64°
Closest atoms and distances in Å follow each position.
Positions (direct):
Rh 0.9823 0.9823 0.0119  1 Se 2.51, 2 Rh 2.67, 3 W 2.75
Rh 0.5177 0.5177 0.4881  1 Se 2.51, 2 Rh 2.67, 3 W 2.75
Se 0.7500 0.7500 0.7500  2 Rh 2.51, 4 W 2.73
W 0.2500 0.2500 0.2500  4 Se 2.73, 6 Rh 2.75, 2 W 2.94

E_form (uncorrected): 141 meV per atom
symmetry: C2/m (12)
crystal system: monoclinic


Record 7
The following is a PBE calculation of a geometry-optimized RhW4Se structure, from Alexandria.

a = 5.2860 Å, b = 5.2860 Å, c = 5.2860 Å
α = 60.00°, β = 60.00°, γ = 60.00°
Closest atoms and distances in Å follow each position.
Positions (direct):
Rh 0.2500 0.2500 0.2500  12 W 3.10, 4 Se 3.24
W 0.6250 0.6250 0.1249  6 W 2.64
W 0.6250 0.1249 0.6250  6 W 2.64
W 0.6250 0.6250 0.6250  6 W 2.64
W 0.1249 0.6250 0.6250  6 W 2.64
Se 0.0000 0.0000 0.0000  12 W 3.10, 4 Rh 3.24

E_form (uncorrected): 818 meV per atom
symmetry: F-43m (216)
crystal system: cubic


Record 8
The following is a PBE calculation of a geometry-optimized RhWSe2 structure, from Alexandria.

a = 8.8072 Å, b = 3.2822 Å, c = 13.4714 Å
α = 90.00°, β = 121.53°, γ = 90.00°
Closest atoms and distances in Å follow each position.
Positions (direct):
Rh 0.2095 0.0000 0.3627  4 Se 2.42-2.65
Rh 0.2095 0.5000 0.8627  4 Se 2.42-2.65
Rh 0.9526 0.0000 0.1230  4 Se 2.49-2.58, 3 W 2.76-2.78
Rh 0.9526 0.5000 0.6230  4 Se 2.49-2.58, 3 W 2.76-2.78
W 0.1349 0.0000 0.0056  3 Se 2.53-2.57, 2 W 2.78, 1 Rh 2.78
W 0.1349 0.5000 0.5056  3 Se 2.53-2.57, 2 W 2.78, 1 Rh 2.78
W 0.2456 0.0000 0.6981  3 Se 2.53-2.56, 2 Rh 2.76, 2 W 2.78
W 0.2456 0.5000 0.1981  3 Se 2.53-2.56, 2 Rh 2.76, 2 W 2.78
Se 0.8796 0.0000 0.4556  2 W 2.57, 2 Rh 2.58
Se 0.8796 0.5000 0.9556  2 W 2.57, 2 Rh 2.58
Se 0.4434 0.0000 0.9206  2 Rh 2.42, 1 W 2.56
Se 0.4434 0.5000 0.4206  2 Rh 2.42, 1 W 2.56
Se 0.4495 0.0000 0.1809  3 W 2.53
Se 0.4495 0.5000 0.6809  3 W 2.53
Se 0.9330 0.0000 0.7546  4 Rh 2.49-2.65
Se 0.9330 0.5000 0.2546  4 Rh 2.49-2.65

E_form (uncorrected): -185 meV per atom
symmetry: Cm (8)
relative energy among the computed polymorphs: 33 meV/atom
crystal system: monoclinic


Record 9
The following is a PBE calculation of a geometry-optimized RhWSe2 structure, from Alexandria.

a = 8.5080 Å, b = 8.5080 Å, c = 8.5080 Å
α = 21.57°, β = 21.57°, γ = 21.57°
Closest atoms and distances in Å follow each position.
Positions (direct):
Rh 0.0000 0.0000 0.0000  2 Se 2.38
Se 0.9044 0.9044 0.9044  1 Rh 2.38, 3 W 2.55
Se 0.0956 0.0956 0.0956  1 Rh 2.38, 3 W 2.55
W 0.5000 0.5000 0.5000  6 Se 2.55

E_form (uncorrected): 49 meV per atom
symmetry: R-3m (166)
relative energy among the computed polymorphs: 267 meV/atom
crystal system: trigonal


Record 10
The following is a PBE calculation of a geometry-optimized RhW3Se structure, from Alexandria.

a = 4.7353 Å, b = 4.7353 Å, c = 4.7353 Å
α = 90.00°, β = 90.00°, γ = 90.00°
Closest atoms and distances in Å follow each position.
Positions (direct):
Rh 0.0000 0.0000 0.0000  6 W 2.37
Se 0.5000 0.5000 0.5000  12 W 3.35
W 0.0000 0.5000 0.0000  2 Rh 2.37
W 0.0000 0.0000 0.5000  2 Rh 2.37
W 0.5000 0.0000 0.0000  2 Rh 2.37

E_form (uncorrected): 2066 meV per atom
symmetry: Pm-3m (221)
relative energy among the computed polymorphs: 362 meV/atom
crystal system: cubic


Record 11
The following is a PBE calculation of a geometry-optimized RhWSe2 structure, from Alexandria.

a = 9.7511 Å, b = 9.7511 Å, c = 9.7511 Å
α = 18.14°, β = 18.14°, γ = 18.14°
Closest atoms and distances in Å follow each position.
Positions (direct):
Rh 0.7524 0.7524 0.7524  3 Se 2.50
Se 0.0246 0.0246 0.0246  3 Rh 2.50
Se 0.2260 0.2260 0.2260  3 W 2.52
W 0.4970 0.4970 0.4970  3 Se 2.52

E_form (uncorrected): -18 meV per atom
symmetry: R3m (160)
relative energy among the computed polymorphs: 200 meV/atom
crystal system: trigonal


Record 12
The following is a PBE calculation of a geometry-optimized RhWSe2 structure, from Alexandria.

a = 3.2868 Å, b = 6.2734 Å, c = 8.6834 Å
α = 78.02°, β = 80.46°, γ = 83.45°
Closest atoms and distances in Å follow each position.
Positions (direct):
Rh 0.5700 0.3491 0.9055  3 Se 2.42-2.69, 1 W 2.70
Rh 0.9362 0.6725 0.0018  4 Se 2.48-2.58, 1 W 2.64
W 0.4968 0.9296 0.7700  4 Se 2.52-2.64, 2 W 2.59-2.70, 1 Rh 2.80
W 0.0663 0.6285 0.7015  3 Se 2.53-2.64, 2 W 2.59-2.70, 3 Rh 2.64-2.82
Se 0.3623 0.9508 0.0613  3 Rh 2.48-2.69, 1 W 2.52
Se 0.9770 0.2400 0.6465  3 W 2.59-2.64, 1 Rh 2.60
Se 0.6173 0.8088 0.4917  3 W 2.53-2.64
Se 0.4333 0.4188 0.1736  3 Rh 2.42-2.58

E_form (uncorrected): -211 meV per atom
symmetry: P1 (1)
relative energy among the computed polymorphs: 7 meV/atom
crystal system: triclinic


Electronic total energy values, unit eV/atom, following the record order: -6.854; -7.661; -6.536; -7.105; -6.328; -7.644; -9.624; -7.004; -6.769; -7.874; -6.837; -7.030.
Density of states at the Fermi level values, unit states/eV/atom, following the record order: 0.685; 0.799; 1.041; 1.379; 0.780; 0.947; 1.109; 0.710; 0.736; 0.718; 0.984; 0.547.
Magnetization values, unit μB/atom, following the record order: 0.000; 0.000; 0.014; 0.000; 0.000; 0.000; 0.000; 0.000; 0.000; 0.000; 0.001; 0.000.